! PBE UMn2Cl8, relaxed; values from VASP
&SYSTEM
  ibrav = 0, nat = 11, ntyp = 3
/
ATOMIC_SPECIES
U 238.03 U.upf
Mn 54.94 Mn.upf
Cl 35.45 Cl.upf
CELL_PARAMETERS angstrom
6.702 -4.116 0.000
6.702 4.116 0.000
-0.534 0.000 6.522
ATOMIC_POSITIONS angstrom
U 0.000 0.000 0.000
Mn 2.195 0.000 4.162
Mn 10.675 0.000 2.360
Cl 5.380 2.351 1.448
Cl 1.993 0.000 1.752
Cl 7.491 2.351 5.073
Cl 4.338 0.000 4.695
Cl 8.532 0.000 1.827
Cl 5.380 -2.351 1.448
Cl 10.877 0.000 4.770
Cl 7.491 -2.351 5.073
! ΔE_f (raw) ... -14.1 eV/f.u.
! Raw total energy ... -5.320 eV per atom